The following is a PBE-GGA calculation of crystalline CaZnTc3 at its relaxed geometry, from Alexandria.

Lattice parameters (Å, degrees): 4.642 4.642 4.642 90.00 90.00 90.00
Element x y z (fractional)
Ca: 0.000 0.000 0.000
Zn: 0.500 0.500 0.500
Tc: 0.000 0.500 0.500
Tc: 0.500 0.000 0.500
Tc: 0.500 0.500 0.000

## Properties
Mass density (Mg/m³): 6.6
Formation energy from the elements (eV per atom): 1.3922
DFT total energy (eV/cell): -27.412
Crystal system: cubic
Space-group type: Pm-3m (221)